1.
Computed, not measured: crystalline Ti2Zn2Sn at its relaxed geometry at the PBE level of DFT.

Cell: 6.773 6.773 3.743 Å, 90.00 90.00 90.00°
Positions (direct):
Ti 0.171 0.329 0.000
Ti 0.329 0.829 0.000
Ti 0.671 0.171 0.000
Ti 0.829 0.671 0.000
Zn 0.125 0.625 0.500
Zn 0.375 0.125 0.500
Zn 0.625 0.875 0.500
Zn 0.875 0.375 0.500
Sn 0.000 0.000 0.500
Sn 0.500 0.500 0.500

E_form = -0.12 eV/atom
Symmetry = P4/mbm, No. 127

=====

2.
Computed, not measured: crystalline Sc2OsPb at its relaxed geometry at the PBE level of DFT.

Cell: 4.743 4.743 3.507 Å, 90.00 90.00 90.00°
Positions (direct):
Sc 0.000 0.500 0.000
Sc 0.500 0.000 0.000
Os 0.000 0.000 0.500
Pb 0.500 0.500 0.500

E_form = -0.24 eV/atom
Symmetry = P4/mmm, No. 123